Material: TiVSe2F
Method: DFT, GGA+U
State: relaxed

The calculated total energy is -28.25 eV for the cell shown.

The space group is P4/mmm (No. 123) and the conventional cell measures 5.0554, 5.0554 and 3.8166 Å, with angles of 90.00, 90.00 and 90.00 degrees. Symmetry generates all atoms from Ti at (0.0000, 0.0000, 0.0000), V at (0.5000, 0.5000, 0.5000), Se at (0.0000, 0.5000, 0.5000) and F at (0.5000, 0.5000, 0.0000).